No. 1
Crystalline LiCe2Ge4Ir3 at its relaxed geometry. Source: the Alexandria database, functional GGA-PBE.

Cell lengths 4.3158, 4.3158, 9.9581 Å; angles 90.00, 90.00, 90.00 degrees
With the nearest neighbours (Å) after each atom.
Sites, in units of the cell vectors:
Ce1 0.0000 0.5000 0.7537  8 Ge 3.27-3.30, 6 Ir 3.28-3.32, 2 Li 3.32
Ce2 0.5000 0.0000 0.2463  8 Ge 3.27-3.30, 6 Ir 3.28-3.32, 2 Li 3.32
Li1 0.5000 0.5000 0.5000  4 Ge 2.51
Ir1 0.5000 0.0000 0.8731  5 Ge 2.44-2.50
Ir2 0.0000 0.0000 0.5000  4 Ge 2.51
Ir3 0.0000 0.5000 0.1269  5 Ge 2.44-2.50
Ge1 0.0000 0.5000 0.3719  3 Ir 2.44-2.51, 2 Li 2.51
Ge2 0.5000 0.5000 0.0000  4 Ir 2.50
Ge3 0.0000 0.0000 0.0000  4 Ir 2.50
Ge4 0.5000 0.0000 0.6281  3 Ir 2.44-2.51, 2 Li 2.51

## Properties
space-group type: P-4m2 (115)
formation energy from the elements: -69 kJ/mol of atoms
uncorrected energy: -0.48520 Ry/atom
crystal system: tetragonal

=====

No. 2
Crystalline Er2SnRh at its relaxed geometry. Source: the Alexandria database, functional GGA-PBE.

Cell lengths 3.4229, 3.4229, 7.8310 Å; angles 90.00, 90.00, 90.00 degrees
With the nearest neighbours (Å) after each atom.
Sites, in units of the cell vectors:
Sn1 0.5000 0.5000 0.5000  8 Er 3.30, 4 Sn 3.42
Er1 0.0000 0.0000 0.7867  4 Rh 2.94
Er2 0.0000 0.0000 0.2133  4 Rh 2.94
Rh1 0.5000 0.5000 0.0000  8 Er 2.94

## Properties
space-group type: P4/mmm (123)
formation energy from the elements: -76 kJ/mol of atoms
uncorrected energy: -0.43453 Ry/atom
crystal system: tetragonal

=====

No. 3
Crystalline Y2BiMoC at its relaxed geometry. Source: the Alexandria database, functional GGA-PBE.

Cell lengths 5.0356, 5.0356, 4.1576 Å; angles 90.00, 90.00, 90.00 degrees
With the nearest neighbours (Å) after each atom.
Sites, in units of the cell vectors:
Y1 0.5000 0.0000 0.0000  2 C 2.52
Y2 0.0000 0.5000 0.0000  2 C 2.52
Mo1 0.0000 0.0000 0.5000  2 C 2.08
Bi1 0.5000 0.5000 0.5000  8 Y 3.27, 4 Mo 3.56
C1 0.0000 0.0000 0.0000  2 Mo 2.08

## Properties
space-group type: P4/mmm (123)
formation energy from the elements: -29 kJ/mol of atoms
uncorrected energy: -0.56388 Ry/atom
crystal system: tetragonal

=====

No. 4
Crystalline BaYSb3 at its relaxed geometry. Source: the Alexandria database, functional GGA-PBE.

Cell lengths 5.9919, 5.9919, 5.9919 Å; angles 90.00, 90.00, 90.00 degrees
With the nearest neighbours (Å) after each atom.
Sites, in units of the cell vectors:
Y1 0.5000 0.5000 0.5000  12 Sb 4.24
Ba1 0.0000 0.0000 0.0000  6 Sb 3.00
Sb1 0.5000 0.0000 0.0000  2 Ba 3.00
Sb2 0.0000 0.0000 0.5000  2 Ba 3.00
Sb3 0.0000 0.5000 0.0000  2 Ba 3.00

## Properties
space-group type: Pm-3m (221)
formation energy (no corrections): 15.88 kcal/mol of atoms
uncorrected energy: -0.25447 Ry/atom
distance to the lowest polymorph of the same formula: 1.137 eV per atom
crystal system: cubic

=====

No. 5
Crystalline Ce4SiCl5 at its relaxed geometry. Source: the Alexandria database, functional GGA-PBE.

Cell lengths 4.0265, 8.4345, 9.0428 Å; angles 101.99, 102.86, 90.00 degrees
With the nearest neighbours (Å) after each atom.
Sites, in units of the cell vectors:
Cl1 0.8352 0.1788 0.6703  4 Ce 2.89-2.94
Cl2 0.5000 0.5000 0.0000  4 Ce 2.99
Cl3 0.1648 0.8212 0.3297  4 Ce 2.89-2.94
Cl4 0.1690 0.3158 0.3380  3 Ce 2.86-2.87
Cl5 0.8310 0.6842 0.6620  3 Ce 2.86-2.87
Ce1 0.9972 0.7605 0.9943  2 Si 2.84, 4 Cl 2.86-2.99
Ce2 0.0028 0.2395 0.0057  2 Si 2.84, 4 Cl 2.86-2.99
Ce3 0.6652 0.0717 0.3304  1 Si 2.85, 5 Cl 2.87-2.94
Ce4 0.3348 0.9283 0.6696  1 Si 2.85, 5 Cl 2.87-2.94
Si1 0.5000 0.0000 0.0000  6 Ce 2.84-2.85

## Properties
space-group type: C2/m (12)
formation energy (no corrections): -37.94 kcal/mol of atoms
uncorrected energy: -0.40309 Ry/atom
crystal system: monoclinic

=====

No. 6
Crystalline NbV3Pd12 at its relaxed geometry. Source: the Alexandria database, functional GGA-PBE.

Cell lengths 3.9283, 3.9283, 15.6957 Å; angles 90.00, 90.00, 90.00 degrees
With the nearest neighbours (Å) after each atom.
Sites, in units of the cell vectors:
Pd1 0.5000 0.0000 0.3756  4 V 2.71-2.77, 8 Pd 2.77-2.78
Pd2 0.5000 0.5000 0.5000  8 Pd 2.77, 4 V 2.78
Pd3 0.5000 0.5000 0.2507  8 Pd 2.78, 4 V 2.78
Pd4 0.5000 0.5000 0.7493  8 Pd 2.78, 4 V 2.78
Pd5 0.5000 0.5000 0.0000  4 Nb 2.78, 8 Pd 2.78
Pd6 0.5000 0.0000 0.6244  4 V 2.71-2.77, 8 Pd 2.77-2.78
Pd7 0.0000 0.5000 0.6244  4 V 2.71-2.77, 8 Pd 2.77-2.78
Pd8 0.5000 0.0000 0.8745  8 Pd 2.78, 2 Nb 2.78, 2 V 2.85
Pd9 0.0000 0.5000 0.1255  8 Pd 2.78, 2 Nb 2.78, 2 V 2.85
Pd10 0.0000 0.5000 0.3756  4 V 2.71-2.77, 8 Pd 2.77-2.78
Pd11 0.5000 0.0000 0.1255  8 Pd 2.78, 2 Nb 2.78, 2 V 2.85
Pd12 0.0000 0.5000 0.8745  8 Pd 2.78, 2 Nb 2.78, 2 V 2.85
Nb1 0.0000 0.0000 0.0000  12 Pd 2.78
V1 0.0000 0.0000 0.7431  12 Pd 2.71-2.85
V2 0.0000 0.0000 0.2569  12 Pd 2.71-2.85
V3 0.0000 0.0000 0.5000  12 Pd 2.77-2.78

## Properties
space-group type: P4/mmm (123)
formation energy from the elements: -26 kJ/mol of atoms
uncorrected energy: -0.47771 Ry/atom
crystal system: tetragonal